(1)
Computed, not measured: PmNdBi after structural relaxation at the PBE level of DFT. Values from VASP.

## Properties
Total magnetic moment   0.0 μB per formula unit
Polymorph energy (0 for the lowest one)   0.000 eV per atom
Symmetry   No. 216
Density   7.8 g cm⁻³

Cell and atoms, written as Quantum ESPRESSO input:
```
&SYSTEM
  ibrav = 0, nat = 3, ntyp = 3
/
ATOMIC_SPECIES
Pm 145.00 Pm.upf
Nd 144.24 Nd.upf
Bi 208.98 Bi.upf
ATOMIC_POSITIONS crystal
Pm 0.000 0.000 0.000
Nd 0.500 0.500 0.500
Bi 0.750 0.750 0.750
CELL_PARAMETERS angstrom
0.000 3.754 3.754
3.754 0.000 3.754
3.754 3.754 0.000
```


(2)
Computed, not measured: TaFeGePt after structural relaxation at the PBE level of DFT. Values from VASP.

## Properties
Total magnetic moment   1.9 μB per formula unit
Polymorph energy (0 for the lowest one)   0.000 eV per atom
Symmetry   No. 216
Density   13.7 g cm⁻³

Cell and atoms, written as Quantum ESPRESSO input:
```
&SYSTEM
  ibrav = 0, nat = 4, ntyp = 4
/
ATOMIC_SPECIES
Ta 180.95 Ta.upf
Fe 55.84 Fe.upf
Ge 72.64 Ge.upf
Pt 195.08 Pt.upf
ATOMIC_POSITIONS crystal
Ta 0.000 0.000 0.000
Fe 0.500 0.500 0.500
Ge 0.250 0.250 0.250
Pt 0.750 0.750 0.750
CELL_PARAMETERS angstrom
0.000 3.131 3.131
3.131 0.000 3.131
3.131 3.131 0.000
```


(3)
Computed, not measured: Cd2PbW after structural relaxation at the PBE level of DFT. Values from VASP.

## Properties
Total magnetic moment   1.9 μB per formula unit
Symmetry   No. 216
Final energy   -14.53 eV for the cell shown
Density   11.9 g cm⁻³

Cell and atoms, written as Quantum ESPRESSO input:
```
&SYSTEM
  ibrav = 0, nat = 4, ntyp = 3
/
ATOMIC_SPECIES
Cd 112.41 Cd.upf
Pb 207.20 Pb.upf
W 183.84 W.upf
ATOMIC_POSITIONS crystal
Cd 0.000 0.000 0.000
Cd 0.250 0.250 0.250
Pb 0.500 0.500 0.500
W 0.750 0.750 0.750
CELL_PARAMETERS angstrom
0.000 3.500 3.500
3.500 0.000 3.500
3.500 3.500 0.000
```


(4)
Computed, not measured: YCo9Si4 after structural relaxation at the PBE level of DFT. Values from VASP.

## Properties
Total magnetic moment   4.2 μB per formula unit
Symmetry   No. 140
Final energy   -197.85 eV for the cell shown
Density   7.2 g cm⁻³

Cell and atoms, written as Quantum ESPRESSO input:
```
&SYSTEM
  ibrav = 0, nat = 28, ntyp = 3
/
ATOMIC_SPECIES
Y 88.91 Y.upf
Co 58.93 Co.upf
Si 28.09 Si.upf
ATOMIC_POSITIONS crystal
Y 0.250 0.250 0.000
Y 0.750 0.750 0.000
Co 0.000 0.500 0.500
Co 0.049 0.549 0.237
Co 0.070 0.802 0.872
Co 0.188 0.951 0.500
Co 0.198 0.070 0.269
Co 0.302 0.570 0.872
Co 0.312 0.812 0.763
Co 0.430 0.302 0.731
Co 0.451 0.688 0.500
Co 0.500 0.000 0.500
Co 0.549 0.312 0.500
Co 0.570 0.698 0.269
Co 0.688 0.188 0.237
Co 0.698 0.430 0.128
Co 0.802 0.930 0.731
Co 0.812 0.049 0.500
Co 0.930 0.198 0.128
Co 0.951 0.451 0.763
Si 0.046 0.210 0.500
Si 0.210 0.710 0.163
Si 0.290 0.454 0.500
Si 0.454 0.954 0.163
Si 0.546 0.046 0.837
Si 0.710 0.546 0.500
Si 0.790 0.290 0.837
Si 0.954 0.790 0.500
CELL_PARAMETERS angstrom
-3.838 3.838 5.691
3.838 -3.838 5.691
3.838 3.838 -5.691
```


(5)
Computed, not measured: LiLaReTc after structural relaxation at the PBE level of DFT. Values from VASP.

## Properties
Total magnetic moment   0.0 μB per formula unit
Polymorph energy (0 for the lowest one)   0.398 eV per atom
Symmetry   No. 216
Density   10.6 g cm⁻³

Cell and atoms, written as Quantum ESPRESSO input:
```
&SYSTEM
  ibrav = 0, nat = 4, ntyp = 4
/
ATOMIC_SPECIES
Li 6.94 Li.upf
La 138.91 La.upf
Re 186.21 Re.upf
Tc 98.00 Tc.upf
ATOMIC_POSITIONS crystal
Li 0.000 0.000 0.000
La 0.500 0.500 0.500
Re 0.250 0.250 0.250
Tc 0.750 0.750 0.750
CELL_PARAMETERS angstrom
0.000 3.229 3.229
3.229 0.000 3.229
3.229 3.229 0.000
```


(6)
Computed, not measured: LiNbNO after structural relaxation at the PBE level of DFT. Values from VASP.

## Properties
Total magnetic moment   0.1 μB per formula unit
Polymorph energy (0 for the lowest one)   0.701 eV per atom
Symmetry   No. 129
Density   5.8 g cm⁻³

Cell and atoms, written as Quantum ESPRESSO input:
```
&SYSTEM
  ibrav = 0, nat = 8, ntyp = 4
/
ATOMIC_SPECIES
Li 6.94 Li.upf
Nb 92.91 Nb.upf
N 14.01 N.upf
O 16.00 O.upf
ATOMIC_POSITIONS crystal
Li 0.250 0.750 0.000
Li 0.750 0.250 0.000
Nb 0.250 0.250 0.315
Nb 0.750 0.750 0.685
N 0.250 0.250 0.810
N 0.750 0.750 0.190
O 0.250 0.750 0.500
O 0.750 0.250 0.500
CELL_PARAMETERS angstrom
3.156 0.000 0.000
0.000 3.156 0.000
0.000 0.000 7.510
```


(7)
Computed, not measured: Tb3PmZn2 after structural relaxation at the PBE level of DFT. Values from VASP.

## Properties
Total magnetic moment   0.0 μB per formula unit
Symmetry   No. 123
Final energy   -22.54 eV for the cell shown
Density   7.9 g cm⁻³

Cell and atoms, written as Quantum ESPRESSO input:
```
&SYSTEM
  ibrav = 0, nat = 6, ntyp = 3
/
ATOMIC_SPECIES
Tb 158.93 Tb.upf
Pm 145.00 Pm.upf
Zn 65.41 Zn.upf
ATOMIC_POSITIONS crystal
Tb 0.000 0.000 0.000
Tb 0.000 0.000 0.288
Tb 0.000 0.000 0.712
Pm 0.500 0.500 0.500
Zn 0.500 0.500 0.144
Zn 0.500 0.500 0.856
CELL_PARAMETERS angstrom
3.581 0.000 0.000
0.000 3.581 0.000
0.000 0.000 12.282
```


(8)
Computed, not measured: CsPrPt after structural relaxation at the PBE level of DFT. Values from VASP.

## Properties
Total magnetic moment   0.0 μB per formula unit
Symmetry   No. 216
Final energy   -9.81 eV for the cell shown
Density   8.4 g cm⁻³

Cell and atoms, written as Quantum ESPRESSO input:
```
&SYSTEM
  ibrav = 0, nat = 3, ntyp = 3
/
ATOMIC_SPECIES
Cs 132.91 Cs.upf
Pr 140.91 Pr.upf
Pt 195.08 Pt.upf
ATOMIC_POSITIONS crystal
Cs 0.000 0.000 0.000
Pr 0.250 0.250 0.250
Pt 0.750 0.750 0.750
CELL_PARAMETERS angstrom
0.000 3.586 3.586
3.586 0.000 3.586
3.586 3.586 0.000
```